Record 1
A relaxed Be3B12W crystal, computed with PBE-GGA.

Results
Energy of formation   0.260 eV/atom
Crystal system   trigonal

a = 11.9390 Å, b = 11.9390 Å, c = 6.6675 Å
α = 90.00°, β = 90.00°, γ = 120.00°
Last column: nearest neighbours and their distance in Å.
Space group R3c (No. 161, hexagonal axes)
One atom of each set of equivalent atoms:
Be 0.0531 0.3367 0.0000 x18  6 B 1.90-2.12
B 0.0925 0.2048 0.0614 x18  3 B 1.63-1.69
B 0.1076 0.3392 0.5000 x18  4 B 1.68-1.83
B 0.1339 0.4386 0.2847 x18  4 B 1.69-1.83
B 0.1862 0.4597 0.6775 x18  3 B 1.63-1.73
W 0.0000 0.0000 0.1252 x6  6 B 2.16-2.33



Record 2
A relaxed Na3LaTc crystal, computed with PBE-GGA.

Results
Energy of formation   0.550 eV/atom
Crystal system   tetragonal

a = 3.9364 Å, b = 3.9364 Å, c = 10.1996 Å
α = 90.00°, β = 90.00°, γ = 90.00°
Last column: nearest neighbours and their distance in Å.
Space group P4mm (No. 99)
One atom of each set of equivalent atoms:
Na 0.0000 0.0000 0.0000 x1  8 Na 3.74-3.94, 1 La 3.81
Na 0.0000 0.5000 0.6887 x2  4 Na 2.78
La 0.0000 0.0000 0.3733 x1  4 Tc 2.89
Tc 0.5000 0.5000 0.4477 x1  4 La 2.89, 4 Na 3.15